1.
Computed, not measured: a relaxed structure of CuMo2Ir at the PBE level of DFT.

a = 4.8238 Å, b = 4.8238 Å, c = 2.7127 Å
α = 90.04°, β = 90.04°, γ = 112.45°
Fractional coordinates of all 4 atoms:
Ir 0.0000 0.5000 0.5000
Mo 0.5000 0.5000 0.0000
Cu 0.5000 0.0000 0.5000
Mo 0.0000 0.0000 0.0000

Formation energy from the elements: -0.0004 eV/atom
Density: 12.74 g/cm³
Fermi-level density of states: 0.804 states/eV per atom
Polymorph energy (0 for the lowest one): 38.0 meV/atom
Space group: No. 65

=====

2.
Computed, not measured: a relaxed structure of CuMoIr2 at the PBE level of DFT.

a = 4.6533 Å, b = 4.6533 Å, c = 4.6533 Å
α = 130.43°, β = 130.43°, γ = 72.73°
Fractional coordinates of all 4 atoms:
Mo 0.2500 0.7500 0.5000
Cu 0.7500 0.2500 0.5000
Ir 0.0000 0.0000 0.0000
Ir 0.5000 0.5000 0.0000

Formation energy from the elements: -0.1239 eV/atom
Density: 15.83 g/cm³
Fermi-level density of states: 0.721 states/eV per atom
Polymorph energy (0 for the lowest one): 4.9 meV/atom
Space group: No. 139

=====

3.
Computed, not measured: a relaxed structure of CuMo4Ir at the PBE level of DFT.

a = 5.1401 Å, b = 5.1401 Å, c = 5.1401 Å
α = 60.00°, β = 60.00°, γ = 60.00°
Fractional coordinates of all 6 atoms:
Ir 0.0000 0.0000 0.0000
Mo 0.8713 0.3762 0.3762
Mo 0.3762 0.3762 0.3762
Mo 0.3762 0.3762 0.8713
Mo 0.3762 0.8713 0.3762
Cu 0.7500 0.7500 0.7500

Formation energy from the elements: 0.4090 eV/atom
Density: 11.06 g/cm³
Fermi-level density of states: 1.154 states/eV per atom
Space group: No. 216

=====

4.
Computed, not measured: a relaxed structure of CuMoIr3 at the PBE level of DFT.

a = 4.7038 Å, b = 4.7038 Å, c = 4.7038 Å
α = 90.00°, β = 90.00°, γ = 90.00°
Fractional coordinates of all 5 atoms:
Mo 0.0000 0.0000 0.0000
Ir 0.0000 0.0000 0.5000
Ir 0.5000 0.0000 0.0000
Cu 0.5000 0.5000 0.5000
Ir 0.0000 0.5000 0.0000

Formation energy from the elements: 1.7414 eV/atom
Density: 11.74 g/cm³
Fermi-level density of states: 0.565 states/eV per atom
Polymorph energy (0 for the lowest one): 132.3 meV/atom
Space group: No. 221

=====

5.
Computed, not measured: a relaxed structure of CuMo2Ir at the PBE level of DFT.

a = 7.1086 Å, b = 7.1086 Å, c = 5.6476 Å
α = 51.00°, β = 51.00°, γ = 90.00°
Fractional coordinates of all 8 atoms:
Mo 0.1043 0.6250 0.2500
Mo 0.3750 0.3543 0.7500
Mo 0.6457 0.1250 0.2500
Cu 0.2500 0.7500 0.5000
Ir 0.0000 0.0000 0.0000
Mo 0.8750 0.8957 0.7500
Cu 0.5000 0.5000 0.0000
Ir 0.7500 0.2500 0.5000

Formation energy from the elements: 0.6001 eV/atom
Density: 11.43 g/cm³
Fermi-level density of states: 0.824 states/eV per atom
Polymorph energy (0 for the lowest one): 638.4 meV/atom
Space group: No. 122

=====

6.
Computed, not measured: a relaxed structure of CuMo3Ir at the PBE level of DFT.

a = 4.7306 Å, b = 4.7306 Å, c = 4.7306 Å
α = 90.00°, β = 90.00°, γ = 90.00°
Fractional coordinates of all 5 atoms:
Mo 0.5000 0.0000 0.0000
Mo 0.0000 0.5000 0.0000
Cu 0.5000 0.5000 0.5000
Mo 0.0000 0.0000 0.5000
Ir 0.0000 0.0000 0.0000

Formation energy from the elements: 1.7507 eV/atom
Density: 8.53 g/cm³
Fermi-level density of states: 1.110 states/eV per atom
Polymorph energy (0 for the lowest one): 144.6 meV/atom
Space group: No. 221